Material: YMoBr2
Method: DFT, PBE
State: relaxed

Calculated values
The total energy comes out at -42.25 eV/cell. The density of states at the Fermi level is 4.6 states/eV per cell. For the energy relative to the lowest polymorph listed for this composition, the calculation gives 0.3365 eV/atom.

Structure (CIF):
```
data_YMoBr2
_space_group_name_H-M_alt 'C 1 m 1'
_space_group_IT_number 8
_cell_length_a 11.263
_cell_length_b 3.481
_cell_length_c 5.760
_cell_angle_alpha 90.00
_cell_angle_beta 91.02
_cell_angle_gamma 90.00
loop_
_space_group_symop_operation_xyz
'x,y,z'
'x,-y,z'
'x+1/2,y+1/2,z'
'x+1/2,-y+1/2,z'
loop_
_atom_site_label
_atom_site_type_symbol
_atom_site_fract_x
_atom_site_fract_y
_atom_site_fract_z
Y1 Y 0.000 0.000 0.000
Mo1 Mo 0.347 0.000 0.736
Br1 Br 0.007 0.500 0.426
Br2 Br 0.235 0.500 0.982
```

Material: YMoBr4
Method: DFT, PBE
State: relaxed

Calculated values
The total energy comes out at -80.26 eV/cell. The density of states at the Fermi level is 24.2 states/eV per cell.

Structure (CIF):
```
data_YMoBr4
_space_group_name_H-M_alt 'F -4 3 m'
_space_group_IT_number 216
_space_group_name_Hall 'F -4 2 3'
_cell_length_a 8.841
_cell_length_b 8.841
_cell_length_c 8.841
_cell_angle_alpha 90.00
_cell_angle_beta 90.00
_cell_angle_gamma 90.00
loop_
_atom_site_label
_atom_site_type_symbol
_atom_site_fract_x
_atom_site_fract_y
_atom_site_fract_z
Y1 Y 0.000 0.000 0.000
Mo1 Mo 0.250 0.250 0.250
Br1 Br 0.125 0.125 0.625
```

Material: YMoBr2
Method: DFT, PBE
State: relaxed

Calculated values
The total energy comes out at -62.31 eV/cell. The density of states at the Fermi level is 15.7 states/eV per cell. For the energy relative to the lowest polymorph listed for this composition, the calculation gives 0.4251 eV/atom.

Structure (CIF):
```
data_YMoBr2
_space_group_name_H-M_alt 'R -3 m'
_space_group_IT_number 166
_space_group_name_Hall '-R 3 2"'
_cell_length_a 3.3469
_cell_length_b 3.3469
_cell_length_c 28.2411
_cell_angle_alpha 90.00
_cell_angle_beta 90.00
_cell_angle_gamma 120.00
loop_
_atom_site_label
_atom_site_type_symbol
_atom_site_fract_x
_atom_site_fract_y
_atom_site_fract_z
Y1 Y 0.0000 0.0000 0.0000
Mo1 Mo 0.0000 0.0000 0.5000
Br1 Br 0.0000 0.0000 0.4100
```